Li7Mn2Co3O12: optimized geometry, PBE+U.

```
24
Lattice="5.0381 0.0000 0.0000 -1.6319 5.4542 0.0000 -0.7351 -1.6676 7.4665" Properties=species:S:1:pos:R:3 pbc="T T T"
Li 0.0000 0.0000 0.0000
Li 1.7549 -0.9848 6.2963
Li 1.7116 1.9647 1.2326
Li 0.9274 3.2210 3.7664
Li 1.7437 0.5656 3.7001
Li 0.9595 1.8218 6.2339
Li 0.9162 4.7713 1.1702
Mn -1.5757 4.0029 2.4594
Mn 4.2468 -0.2163 5.0071
Co -0.8159 2.7271 0.0000
Co -0.7744 1.2762 2.4891
Co 3.4455 2.5104 4.9774
O -0.0783 1.4739 4.3125
O -0.8274 2.6581 6.7476
O -0.8869 4.2165 4.3459
O -0.0220 0.0857 6.7098
O 0.7837 0.2318 1.9580
O -0.0229 2.9918 1.9840
O 2.6940 0.7948 5.4825
O 1.8874 3.5548 5.5085
O 2.6931 3.7009 0.7567
O 3.5580 -0.4299 3.1206
O 3.4985 1.1284 0.7189
O 2.7494 2.3127 3.1540
```

Computed properties:
Energy above the most stable polymorph in this dataset = 1 meV per atom
Total DFT energy (no corrections) = -141.5 eV/f.u.
Space-group type = No. 2